No. 1
Here is a relaxed structure of Pr3Zn3Pd from Alexandria via LeMat-Bulk. Energies are from PBE-GGA.

Calculated values
SG	No. 44
energy of formation	-431	meV per atom

The structure in CIF format:
```
data_Pr3Zn3Pd
_chemical_formula_sum 'Pr3 Zn3 Pd1'
_symmetry_space_group_name_H-M 'P 1'
_symmetry_Int_Tables_number 1
_cell_length_a 4.5633
_cell_length_b 3.7773
_cell_length_c 10.3559
_cell_angle_alpha 100.51
_cell_angle_beta 102.73
_cell_angle_gamma 90.00
loop_
_symmetry_equiv_pos_as_xyz
'x,y,z'
loop_
_atom_site_label
_atom_site_type_symbol
_atom_site_fract_x
_atom_site_fract_y
_atom_site_fract_z
Zn1 Zn 0.8621 0.3621 0.7242
Zn2 Zn 0.5662 0.5662 0.1325
Zn3 Zn 0.1367 0.6367 0.2733
Pd1 Pd 0.4343 0.4343 0.8687
Pr1 Pr 0.6911 0.1911 0.3822
Pr2 Pr 0.9952 0.9952 0.9903
Pr3 Pr 0.3144 0.8144 0.6289
```


No. 2
Here is a relaxed structure of Ba2LiMn from Alexandria via LeMat-Bulk. Energies are from PBE-GGA.

Calculated values
SG	No. 216
polymorph energy (0 for the lowest one)	45	kJ/mol of formula units
energy of formation	461	meV per atom

The structure in CIF format:
```
data_Ba2LiMn
_chemical_formula_sum 'Ba2 Li1 Mn1'
_symmetry_space_group_name_H-M 'P 1'
_symmetry_Int_Tables_number 1
_cell_length_a 5.7524
_cell_length_b 5.7524
_cell_length_c 5.7524
_cell_angle_alpha 60.00
_cell_angle_beta 60.00
_cell_angle_gamma 60.00
loop_
_symmetry_equiv_pos_as_xyz
'x,y,z'
loop_
_atom_site_label
_atom_site_type_symbol
_atom_site_fract_x
_atom_site_fract_y
_atom_site_fract_z
Mn1 Mn 0.7500 0.7500 0.7500
Li1 Li 0.5000 0.5000 0.5000
Ba1 Ba 0.0000 0.0000 0.0000
Ba2 Ba 0.2500 0.2500 0.2500
```


No. 3
Here is a relaxed structure of La5GaRu2 from Alexandria via LeMat-Bulk. Energies are from PBE-GGA.

Calculated values
SG	No. 140
energy of formation	-364	meV per atom

The structure in CIF format:
```
data_La5GaRu2
_chemical_formula_sum 'La10 Ga2 Ru4'
_symmetry_space_group_name_H-M 'P 1'
_symmetry_Int_Tables_number 1
_cell_length_a 7.9627
_cell_length_b 7.9627
_cell_length_c 8.9975
_cell_angle_alpha 116.26
_cell_angle_beta 116.26
_cell_angle_gamma 90.00
loop_
_symmetry_equiv_pos_as_xyz
'x,y,z'
loop_
_atom_site_label
_atom_site_type_symbol
_atom_site_fract_x
_atom_site_fract_y
_atom_site_fract_z
Ru1 Ru 0.8612 0.6388 0.0000
Ru2 Ru 0.1388 0.3612 0.0000
Ru3 Ru 0.3612 0.8612 0.0000
Ru4 Ru 0.6388 0.1388 0.0000
La1 La 0.4683 0.3000 0.2683
La2 La 0.9683 0.4683 0.2683
La3 La 0.2000 0.0317 0.7317
La4 La 0.0317 0.5317 0.7317
La5 La 0.0000 0.0000 0.0000
La6 La 0.5317 0.7000 0.7317
La7 La 0.5000 0.5000 0.0000
La8 La 0.7000 0.2000 0.7317
La9 La 0.8000 0.9683 0.2683
La10 La 0.3000 0.8000 0.2683
Ga1 Ga 0.7500 0.7500 0.5000
Ga2 Ga 0.2500 0.2500 0.5000
```


No. 4
Here is a relaxed structure of RbSrOs3 from Alexandria via LeMat-Bulk. Energies are from PBE-GGA.

Calculated values
SG	No. 221
polymorph energy (0 for the lowest one)	0	kJ/mol of formula units
energy of formation	3272	meV per atom

The structure in CIF format:
```
data_RbSrOs3
_chemical_formula_sum 'Rb1 Sr1 Os3'
_symmetry_space_group_name_H-M 'P 1'
_symmetry_Int_Tables_number 1
_cell_length_a 5.5891
_cell_length_b 5.5891
_cell_length_c 5.5891
_cell_angle_alpha 90.00
_cell_angle_beta 90.00
_cell_angle_gamma 90.00
loop_
_symmetry_equiv_pos_as_xyz
'x,y,z'
loop_
_atom_site_label
_atom_site_type_symbol
_atom_site_fract_x
_atom_site_fract_y
_atom_site_fract_z
Os1 Os 0.0000 0.0000 0.5000
Os2 Os 0.0000 0.5000 0.0000
Os3 Os 0.5000 0.0000 0.0000
Rb1 Rb 0.5000 0.5000 0.5000
Sr1 Sr 0.0000 0.0000 0.0000
```


No. 5
Here is a relaxed structure of Zr2NbSe2 from Alexandria via LeMat-Bulk. Energies are from PBE-GGA.

Calculated values
SG	No. 127
formation energy (no corrections)	-756	meV per atom

The structure in CIF format:
```
data_Zr2NbSe2
_chemical_formula_sum 'Zr4 Nb2 Se4'
_symmetry_space_group_name_H-M 'P 1'
_symmetry_Int_Tables_number 1
_cell_length_a 7.2394
_cell_length_b 7.2394
_cell_length_c 3.6288
_cell_angle_alpha 90.00
_cell_angle_beta 90.00
_cell_angle_gamma 90.00
loop_
_symmetry_equiv_pos_as_xyz
'x,y,z'
loop_
_atom_site_label
_atom_site_type_symbol
_atom_site_fract_x
_atom_site_fract_y
_atom_site_fract_z
Se1 Se 0.6498 0.1498 0.0000
Se2 Se 0.1498 0.3502 0.0000
Se3 Se 0.3502 0.8502 0.0000
Se4 Se 0.8502 0.6498 0.0000
Zr1 Zr 0.3430 0.1570 0.5000
Zr2 Zr 0.6570 0.8430 0.5000
Zr3 Zr 0.8430 0.3430 0.5000
Zr4 Zr 0.1570 0.6570 0.5000
Nb1 Nb 0.5000 0.5000 0.0000
Nb2 Nb 0.0000 0.0000 0.0000
```


No. 6
Here is a relaxed structure of Ti3AlHg from Alexandria via LeMat-Bulk. Energies are from PBE-GGA.

Calculated values
SG	No. 221
polymorph energy (0 for the lowest one)	0	kJ/mol of formula units
energy of formation	637	meV per atom

The structure in CIF format:
```
data_Ti3AlHg
_chemical_formula_sum 'Ti3 Al1 Hg1'
_symmetry_space_group_name_H-M 'P 1'
_symmetry_Int_Tables_number 1
_cell_length_a 4.7115
_cell_length_b 4.7115
_cell_length_c 4.7115
_cell_angle_alpha 90.00
_cell_angle_beta 90.00
_cell_angle_gamma 90.00
loop_
_symmetry_equiv_pos_as_xyz
'x,y,z'
loop_
_atom_site_label
_atom_site_type_symbol
_atom_site_fract_x
_atom_site_fract_y
_atom_site_fract_z
Hg1 Hg 0.5000 0.5000 0.5000
Ti1 Ti 0.0000 0.5000 0.0000
Ti2 Ti 0.0000 0.0000 0.5000
Ti3 Ti 0.5000 0.0000 0.0000
Al1 Al 0.0000 0.0000 0.0000
```


no.,magnetic moment (μB per cell)
1,0.00
2,4.59
3,0.00
4,9.00
5,0.00
6,0.00